# CSe | the Alexandria database | GGA-PBEsol | relaxed
data_CSe
_chemical_formula_sum 'C2 Se2'
_cell_length_a 2.928
_cell_length_b 2.928
_cell_length_c 7.398
_cell_angle_alpha 101.41
_cell_angle_beta 101.41
_cell_angle_gamma 90.00
_space_group_name_H-M_alt 'P 1'
_space_group_IT_number 1
loop_
_space_group_symop_operation_xyz
'x,y,z'
loop_
_atom_site_label
_atom_site_type_symbol
_atom_site_fract_x
_atom_site_fract_y
_atom_site_fract_z
C1 C 0.250 0.750 0.500
C2 C 0.000 0.000 0.000
Se1 Se 0.750 0.250 0.500
Se2 Se 0.500 0.500 0.000
# uncorrected energy: -4.7817 eV per atom
# space group: I4_1/amd
# volume: 30.5 Å³/f.u.
# polymorph energy (0 for the lowest one): 0 meV/atom
# DOS(E_F): 0.717 states/eV per atom